Compound: Tb3Nd7Sm2
Source: Alexandria via LeMat-Bulk
Functional: PBE
Structure: relaxed

Summary:
energy relative to the lowest polymorph listed for this composition = 0.0 meV/atom
density of states at the Fermi level = 18.2 states/eV/cell
DFT formation energy = 1.548 kcal/mol of atoms

```
Tb3Nd7Sm2
1.0
6.5092 0.0000 0.0000
0.0000 3.5863 0.0000
-1.8126 0.0000 17.6624
Tb Nd Sm
3 7 2
direct
0.0000 0.0000 0.0000
0.0454 0.5000 0.6597
0.9546 0.5000 0.3403
0.2235 0.5000 0.1660
0.2427 0.0000 0.5045
0.2741 0.0000 0.8298
0.5000 0.5000 0.0000
0.7259 0.0000 0.1702
0.7573 0.0000 0.4955
0.7765 0.5000 0.8340
0.4415 0.0000 0.3298
0.5585 0.0000 0.6702
```

=====

Compound: TbNd6Sm12
Source: Alexandria via LeMat-Bulk
Functional: PBE
Structure: relaxed

Summary:
energy relative to the lowest polymorph listed for this composition = 174.9 meV/atom
density of states at the Fermi level = 33.2 states/eV/cell
DFT formation energy = 7.170 kcal/mol of atoms

```
TbNd6Sm12
1.0
8.2884 4.7853 2.8129
-8.2884 4.7853 2.8129
0.0000 -9.5707 2.8129
Tb Nd Sm
1 6 12
direct
0.0000 0.0000 0.0000
0.2691 0.2691 0.5262
0.2691 0.5262 0.2691
0.4738 0.7309 0.7309
0.5262 0.2691 0.2691
0.7309 0.4738 0.7309
0.7309 0.7309 0.4738
0.0938 0.7345 0.7345
0.1205 0.5000 0.8795
0.1205 0.8795 0.5000
0.2655 0.2655 0.9062
0.2655 0.9062 0.2655
0.5000 0.1205 0.8795
0.5000 0.8795 0.1205
0.7345 0.0938 0.7345
0.7345 0.7345 0.0938
0.8795 0.1205 0.5000
0.8795 0.5000 0.1205
0.9062 0.2655 0.2655
```